## TaTe2Br (PBE)

Data for a geometry-optimized TaTe2Br structure.

The space group is Pm (No. 6) and the conventional cell measures 7.068, 3.380 and 7.192 Å, with angles of 90.00, 118.66 and 90.00 degrees. The inequivalent atoms are Ta at (0.000, 0.000, 0.000), Te at (0.650, 0.000, 0.641), Te at (0.957, 0.500, 0.273) and Br at (0.261, 0.500, 0.960).

As for the volume: 37.7 Å³ per atom. As for the uncorrected formation energy: -0.320 eV/atom. The value obtained for the polymorph energy (0 for the lowest one) is 45.3 meV per atom.

***

## Ta3TeBr7 (PBE)

Data for a geometry-optimized Ta3TeBr7 structure.

The space group is Cm (No. 8) and the conventional cell measures 12.530, 7.232 and 9.488 Å, with angles of 90.00, 129.07 and 90.00 degrees. The inequivalent atoms are Ta at (0.000, 0.000, 0.000), Ta at (0.203, 0.203, 0.000), Te at (0.497, 0.500, 0.709), Br at (0.045, 0.500, 0.814), Br at (0.163, 0.249, 0.233), Br at (0.296, 0.249, 0.813), Br at (0.394, 0.500, 0.192) and Br at (0.413, 0.000, 0.234).

As for the volume: 30.3 Å³ per atom. As for the uncorrected formation energy: -0.807 eV/atom.

***

## TaTe2Br (PBE)

Data for a geometry-optimized TaTe2Br structure.

The space group is Fm-3m (No. 225) and the conventional cell measures 7.213, 7.213 and 7.213 Å, with angles of 90.00, 90.00 and 90.00 degrees. The inequivalent atoms are Ta at (0.000, 0.000, 0.000), Te at (0.250, 0.250, 0.250) and Br at (0.000, 0.000, 0.500).

As for the volume: 23.5 Å³ per atom. Its density of states at the Fermi level is 0.60 states/eV/atom. As for the uncorrected formation energy: 0.399 eV/atom. The value obtained for the polymorph energy (0 for the lowest one) is 763.6 meV per atom.

***

## Ta2TeBr (PBE)

Data for a geometry-optimized Ta2TeBr structure.

The space group is P1 (No. 1) and the conventional cell measures 3.361, 3.560 and 8.656 Å, with angles of 78.24, 89.88 and 90.00 degrees. The inequivalent atoms are Ta at (0.000, 0.000, 0.000), Ta at (0.499, 0.413, 0.176), Te at (0.501, 0.590, 0.818) and Br at (0.998, 0.291, 0.421).

As for the volume: 25.4 Å³ per atom. Its density of states at the Fermi level is 0.73 states/eV/atom. As for the uncorrected formation energy: -0.174 eV/atom. The value obtained for the polymorph energy (0 for the lowest one) is 74.8 meV per atom.

***

## Ta2TeBr (PBE)

Data for a geometry-optimized Ta2TeBr structure.

The space group is Imm2 (No. 44) and the conventional cell measures 3.309, 4.872 and 10.129 Å, with angles of 90.00, 90.00 and 90.00 degrees. The inequivalent atoms are Ta at (0.000, 0.000, 0.000), Ta at (0.000, 0.500, 0.216), Te at (0.000, 0.500, 0.729) and Br at (0.000, 0.000, 0.509).

As for the volume: 20.4 Å³ per atom. Its density of states at the Fermi level is 0.68 states/eV/atom. As for the uncorrected formation energy: 0.502 eV/atom. The value obtained for the polymorph energy (0 for the lowest one) is 750.5 meV per atom.

***

## Ta2TeBr (PBE)

Data for a geometry-optimized Ta2TeBr structure.

The space group is Cm (No. 8) and the conventional cell measures 13.550, 3.478 and 10.039 Å, with angles of 90.00, 116.31 and 90.00 degrees. The inequivalent atoms are Ta at (0.000, 0.000, 0.000), Ta at (0.023, 0.500, 0.802), Ta at (0.189, 0.000, 0.876), Ta at (0.217, 0.500, 0.108), Te at (0.171, 0.000, 0.292), Te at (0.400, 0.000, 0.148), Br at (0.293, 0.500, 0.757) and Br at (0.494, 0.500, 0.577).

As for the volume: 26.5 Å³ per atom. Its density of states at the Fermi level is 0.43 states/eV/atom. As for the uncorrected formation energy: -0.189 eV/atom. The value obtained for the polymorph energy (0 for the lowest one) is 59.6 meV per atom.

***

## Ta2TeBr (PBE)

Data for a geometry-optimized Ta2TeBr structure.

The space group is Immm (No. 71) and the conventional cell measures 3.139, 5.935 and 9.162 Å, with angles of 90.00, 90.00 and 90.00 degrees. The inequivalent atoms are Ta at (0.000, 0.000, 0.249), Te at (0.000, 0.500, 0.000) and Br at (0.000, 0.500, 0.500).

As for the volume: 21.3 Å³ per atom. Its density of states at the Fermi level is 0.80 states/eV/atom. As for the uncorrected formation energy: 0.674 eV/atom. The value obtained for the polymorph energy (0 for the lowest one) is 922.8 meV per atom.

***

## Ta2TeBr (PBE)

Data for a geometry-optimized Ta2TeBr structure.

The space group is Fm-3m (No. 225) and the conventional cell measures 6.733, 6.733 and 6.733 Å, with angles of 90.00, 90.00 and 90.00 degrees. The inequivalent atoms are Ta at (0.250, 0.250, 0.250), Te at (0.000, 0.000, 0.000) and Br at (0.000, 0.000, 0.500).

As for the volume: 19.1 Å³ per atom. Its density of states at the Fermi level is 1.48 states/eV/atom. As for the uncorrected formation energy: 0.562 eV/atom. The value obtained for the polymorph energy (0 for the lowest one) is 811.3 meV per atom.

***

Question: What is the uncorrected formation energy in the third record?
Answer: 0.399 eV/atom

***

Repeat the third record exactly.
## TaTe2Br (PBE)

Data for a geometry-optimized TaTe2Br structure.

The space group is Fm-3m (No. 225) and the conventional cell measures 7.213, 7.213 and 7.213 Å, with angles of 90.00, 90.00 and 90.00 degrees. The inequivalent atoms are Ta at (0.000, 0.000, 0.000), Te at (0.250, 0.250, 0.250) and Br at (0.000, 0.000, 0.500).

As for the volume: 23.5 Å³ per atom. Its density of states at the Fermi level is 0.60 states/eV/atom. As for the uncorrected formation energy: 0.399 eV/atom. The value obtained for the polymorph energy (0 for the lowest one) is 763.6 meV per atom.

***

Question: What is the uncorrected formation energy in the first record?
Answer: -0.320 eV/atom

***

Question: Number 6 is which compound?
Answer: Ta2TeBr